1.
Material: LuThMgSn
Method: DFT, GGA-PBE
State: optimized geometry

Unit cell a=5.350 b=5.350 c=5.350 alpha=60.00 beta=60.00 gamma=60.00
Atoms (fractional coordinates):
Lu (0.000, 0.000, 0.000)
Th (0.500, 0.500, 0.500)
Mg (0.250, 0.250, 0.250)
Sn (0.750, 0.750, 0.750)

DOS at the Fermi energy, states/eV per atom: 0.83
Formation energy, eV/f.u.: -0.91
SG: No. 216

2.
Material: LuMgTlSn
Method: DFT, GGA-PBE
State: optimized geometry

Unit cell a=5.237 b=5.237 c=5.237 alpha=60.00 beta=60.00 gamma=60.00
Atoms (fractional coordinates):
Lu (0.000, 0.000, 0.000)
Mg (0.500, 0.500, 0.500)
Tl (0.250, 0.250, 0.250)
Sn (0.750, 0.750, 0.750)

DOS at the Fermi energy, states/eV per atom: 0.83
Formation energy, eV/f.u.: -0.79
SG: No. 216

3.
Material: TmLuMgSn
Method: DFT, GGA-PBE
State: optimized geometry

Unit cell a=5.222 b=5.222 c=5.222 alpha=60.00 beta=60.00 gamma=60.00
Atoms (fractional coordinates):
Tm (0.000, 0.000, 0.000)
Lu (0.500, 0.500, 0.500)
Mg (0.250, 0.250, 0.250)
Sn (0.750, 0.750, 0.750)

DOS at the Fermi energy, states/eV per atom: 0.95
Formation energy, eV/f.u.: -1.34
SG: No. 216

Which of these has the highest formation energy?
LuMgTlSn